Compound: NbCuW3
Source: the Alexandria database
Functional: PBEsol
Structure: relaxed

Unit cell a=4.457 b=4.457 c=4.457 alpha=90.00 beta=90.00 gamma=90.00
Space group Pm-3m (No. 221)
One atom of each set of equivalent atoms:
Nb: 0.000 0.000 0.000
Cu: 0.500 0.500 0.500
W: 0.000 0.500 0.500

size of the total moment	0.000	μB/atom
formation energy from the elements	1.733	eV per atom

=====

Compound: NdCu5
Source: the Alexandria database
Functional: PBEsol
Structure: relaxed

Unit cell a=5.0415 b=5.0415 c=4.0089 alpha=90.00 beta=90.00 gamma=120.00
Space group P6/mmm (No. 191)
One atom of each set of equivalent atoms:
Nd: 0.0000 0.0000 0.0000
Cu: 0.0000 0.5000 0.5000
Cu: 0.3333 0.6667 0.0000

size of the total moment	0.000	μB/atom
formation energy from the elements	-0.151	eV per atom

=====

Compound: NdCu6
Source: the Alexandria database
Functional: PBEsol
Structure: relaxed

Unit cell a=7.952 b=4.990 c=9.954 alpha=90.00 beta=90.00 gamma=90.00
Space group Pnma (No. 62)
One atom of each set of equivalent atoms:
Nd: 0.240 0.250 0.064
Cu: 0.063 0.750 0.096
Cu: 0.065 0.005 0.309
Cu: 0.098 0.250 0.517
Cu: 0.148 0.750 0.856
Cu: 0.182 0.250 0.755

size of the total moment	0.000	μB/atom
formation energy from the elements	-0.121	eV per atom

=====

no.,volume (A^3/atom)
1,17.70
2,14.71
3,14.11